## Rb2ZrPt (PBE)

Data for an optimized crystal structure of Rb2ZrPt.

```
8
Lattice="12.6726 0.0000 0.0000 0.0000 12.6726 0.0000 6.3363 6.3363 2.5284" Properties=species:S:1:pos:R:3 pbc="T T T"
Rb 11.4018 3.1682 0.6321
Rb 13.9435 9.5045 0.6321
Rb 9.5045 7.6072 1.8963
Rb 15.8408 5.0655 1.8963
Zr 6.3363 6.3363 0.0000
Zr 6.3363 12.6726 1.2642
Pt 0.0000 0.0000 0.0000
Pt 12.6726 6.3363 1.2642
```

Properties
Polymorph energy (0 for the lowest one): 0.0000 eV per atom
Total magnetization: 3.3 μB/cell


## Rb4Zr2Pt (PBE)

Data for an optimized crystal structure of Rb4Zr2Pt.

```
7
Lattice="7.0441 0.0000 0.0000 0.0000 7.0441 0.0000 3.5220 3.5220 8.4107" Properties=species:S:1:pos:R:3 pbc="T T T"
Rb 7.0441 7.0441 3.1269
Rb 3.5220 3.5220 5.2838
Rb 0.0000 3.5220 0.0000
Rb 3.5220 0.0000 0.0000
Zr 7.0441 7.0441 7.2242
Zr 3.5220 3.5220 1.1865
Pt 0.0000 0.0000 0.0000
```

Properties
Total magnetization: 2.8 μB/cell


## Rb2ZrPt (PBE)

Data for an optimized crystal structure of Rb2ZrPt.

```
4
Lattice="0.0000 4.0442 4.0442 4.0442 0.0000 4.0442 4.0442 4.0442 0.0000" Properties=species:S:1:pos:R:3 pbc="T T T"
Rb 2.0221 2.0221 2.0221
Rb 6.0663 6.0663 6.0663
Zr 0.0000 0.0000 0.0000
Pt 4.0442 4.0442 4.0442
```

Properties
Polymorph energy (0 for the lowest one): 0.7181 eV per atom
Total magnetization: 3.1 μB/cell


Number 1: DFT total energy -28.74 eV for the cell shown, energy of formation from the pure elements 0.538 eV/atom. Number 2: DFT total energy -19.66 eV for the cell shown, energy of formation from the pure elements 1.050 eV/atom. Number 3: DFT total energy -11.50 eV for the cell shown, energy of formation from the pure elements 1.256 eV/atom.